DFT (PBE) results for an optimized crystal structure of Mg2SnBi.

Unit cell a=8.047 b=4.586 c=6.720 alpha=90.00 beta=113.63 gamma=90.00
Space group Cm (No. 8)
Inequivalent atoms, fractional coordinates:
Mg 0.000 0.000 0.000 [2 per cell]
Mg 0.169 0.000 0.499 [2 per cell]
Sn 0.255 0.500 0.255 [2 per cell]
Bi 0.085 0.500 0.751 [2 per cell]

Calculated values
The formation energy comes out at -0.0915 eV per atom. The calculation puts the total DFT energy (no corrections) at -2.860 eV per atom. Its offset from the most stable computed form is 7 meV per atom.